1.
PBE NdSi2TcAu, relaxed; E = -6.440 eV per atom
1.0
-2.273 -5.514 -0.440
-5.884 -0.843 -0.661
4.393 3.283 -2.385
Si Au Tc Nd
2 1 1 1
Direct
0.369 0.869 0.500 Si
0.131 0.631 0.500 Si
0.000 0.000 0.000 Au
0.500 0.500 0.000 Tc
0.750 0.250 0.500 Nd

=====

2.
PBE NdYSi3Au, relaxed; energy above the most stable polymorph in this dataset = 0.00 eV/f.u.; E = -5.919 eV per atom
1.0
-1.532 -5.043 6.429
-0.959 0.546 8.184
-5.719 -0.014 1.391
Au Y Si Nd
2 2 6 2
Direct
0.831 0.831 0.169 Au
0.169 0.169 0.831 Au
0.250 0.250 0.250 Y
0.750 0.750 0.750 Y
0.335 0.830 0.665 Si
0.170 0.665 0.830 Si
0.336 0.336 0.664 Si
0.664 0.664 0.336 Si
0.830 0.335 0.170 Si
0.665 0.170 0.335 Si
0.256 0.744 0.256 Nd
0.744 0.256 0.744 Nd

=====

3.
PBE NdYSi3Au, relaxed; energy above the most stable polymorph in this dataset = 0.05 eV/f.u.; E = -5.910 eV per atom
1.0
0.000 4.214 7.130
4.140 0.000 7.130
4.140 4.214 0.000
Au Si Nd Y
2 6 2 2
Direct
0.664 0.664 0.336 Au
0.336 0.336 0.664 Au
0.163 0.163 0.837 Si
0.837 0.837 0.163 Si
0.836 0.328 0.164 Si
0.672 0.164 0.328 Si
0.328 0.836 0.672 Si
0.164 0.672 0.836 Si
0.250 0.250 0.250 Nd
0.750 0.750 0.750 Nd
0.242 0.758 0.242 Y
0.758 0.242 0.758 Y

=====

4.
PBE Nd2YSi4Au4, relaxed; E = -5.356 eV per atom
1.0
-2.113 2.142 12.569
2.113 -2.142 12.569
2.113 2.142 -12.569
Au Si Nd Y
4 4 2 1
Direct
0.407 0.407 0.000 Au
0.750 0.250 0.500 Au
0.250 0.750 0.500 Au
0.593 0.593 0.000 Au
0.310 0.310 0.000 Si
0.690 0.690 0.000 Si
0.953 0.453 0.500 Si
0.047 0.547 0.500 Si
0.852 0.852 0.000 Nd
0.148 0.148 0.000 Nd
0.500 0.000 0.500 Y

=====

5.
PBE NdY2Zn2Si4Au2, relaxed; energy above the most stable polymorph in this dataset = 0.00 eV/f.u.; E = -5.051 eV per atom
1.0
4.685 6.873 9.904
2.123 10.954 6.541
-5.890 -9.351 -6.719
Au Y Si Nd Zn
2 2 4 1 2
Direct
0.097 0.597 0.500 Au
0.903 0.403 0.500 Au
0.354 0.854 0.500 Y
0.646 0.146 0.500 Y
0.547 0.547 0.000 Si
0.192 0.692 0.500 Si
0.808 0.308 0.500 Si
0.453 0.453 0.000 Si
0.000 0.000 0.000 Nd
0.251 0.251 0.000 Zn
0.749 0.749 0.000 Zn

=====

6.
PBE Nd2YZn2Si4Au2, relaxed; E = -4.920 eV per atom
1.0
-8.884 -4.298 8.282
-11.193 0.810 6.329
8.722 0.212 -9.480
Si Zn Nd Au Y
4 2 2 2 1
Direct
0.808 0.308 0.500 Si
0.192 0.692 0.500 Si
0.453 0.453 0.000 Si
0.547 0.547 0.000 Si
0.749 0.749 0.000 Zn
0.251 0.251 0.000 Zn
0.353 0.853 0.500 Nd
0.647 0.147 0.500 Nd
0.094 0.594 0.500 Au
0.906 0.406 0.500 Au
0.000 0.000 0.000 Y